(1)
# Ta2CrOs, optimized geometry, DFT PBE
data_Ta2CrOs
_chemical_formula_sum 'Ta4 Cr2 Os2'
_cell_length_a 5.509
_cell_length_b 8.632
_cell_length_c 2.816
_cell_angle_alpha 90.00
_cell_angle_beta 110.71
_cell_angle_gamma 90.00
_space_group_name_H-M_alt 'C 1 2/m 1'
_space_group_IT_number 12
_space_group_name_Hall '-C 2y'
loop_
_atom_site_label
_atom_site_type_symbol
_atom_site_fract_x
_atom_site_fract_y
_atom_site_fract_z
Ta1 Ta 0.250 0.250 0.000
Cr1 Cr 0.000 0.000 0.500
Os1 Os 0.000 0.500 0.500
# ρ, g/cm³: 16.0
# Total energy, eV per atom: -11.19
# Total magnetic moment, μB/f.u.: 0.00
# Crystal system: monoclinic
# E above lowest polymorph, meV/atom: 256



(2)
# PrPdPt4, optimized geometry, DFT PBE
data_PrPdPt4
_chemical_formula_sum 'Pr4 Pd4 Pt16'
_cell_length_a 7.617
_cell_length_b 7.617
_cell_length_c 7.617
_cell_angle_alpha 90.00
_cell_angle_beta 90.00
_cell_angle_gamma 90.00
_space_group_name_H-M_alt 'F -4 3 m'
_space_group_IT_number 216
_space_group_name_Hall 'F -4 2 3'
loop_
_atom_site_label
_atom_site_type_symbol
_atom_site_fract_x
_atom_site_fract_y
_atom_site_fract_z
Pr1 Pr 0.000 0.000 0.000
Pd1 Pd 0.250 0.250 0.750
Pt1 Pt 0.125 0.125 0.375
# ρ, g/cm³: 15.4
# Total energy, eV per atom: -6.35
# Total magnetic moment, μB/f.u.: 0.00
# Crystal system: cubic